(1)
Below is ScGeIr2 after structural relaxation, with properties calculated at the PBE-GGA level.

The space group is I-42d (No. 122) and the conventional cell measures 7.047, 7.047 and 5.700 Å, with angles of 90.00, 90.00 and 90.00 degrees. The asymmetric unit holds Sc at (0.000, 0.000, 0.000), Ge at (0.000, 0.000, 0.500) and Ir at (0.206, 0.250, 0.625).

The calculation puts the volume at 283.05 Å³ per cell. The value obtained for the energy of formation from the pure elements is -0.192 eV per atom. Its crystal system is tetragonal. The calculation puts the mass density at 11.781 g/cm³. The energy is -117.8 eV/cell.

---

(2)
Below is AcLaCeRu2 after structural relaxation, with properties calculated at the PBE-GGA level.

The space group is C2/m (No. 12) and the conventional cell measures 12.005, 4.212 and 10.899 Å, with angles of 90.00, 95.59 and 90.00 degrees. The asymmetric unit holds Ac at (0.129, 0.000, 0.406), La at (0.147, 0.500, 0.089), Ce at (0.102, 0.500, 0.756), Ru at (0.070, 0.000, 0.893) and Ru at (0.204, 0.000, 0.680).

The calculation puts the volume at 548.50 Å³ per cell. The value obtained for the energy of formation from the pure elements is -0.301 eV per atom. Its crystal system is monoclinic. The calculation puts the mass density at 8.576 g/cm³. The energy is -140.1 eV/cell.

---

(3)
Below is La4Ga2Br3 after structural relaxation, with properties calculated at the PBE-GGA level.

The space group is C2/m (No. 12) and the conventional cell measures 7.511, 4.336 and 18.602 Å, with angles of 90.00, 90.06 and 90.00 degrees. The asymmetric unit holds La at (0.001, 0.000, 0.302), La at (0.166, 0.500, 0.895), Ga at (0.167, 0.500, 0.202), Br at (0.000, 0.000, 0.000) and Br at (0.166, 0.500, 0.601).

The calculation puts the volume at 605.91 Å³ per cell. Its crystal system is monoclinic. The calculation puts the uncorrected formation energy at -1141 meV/atom. The calculation puts the mass density at 5.124 g/cm³. The energy is -82.1 eV/cell.

---

(4)
Below is MgMoPd after structural relaxation, with properties calculated at the PBE-GGA level.

The space group is P1 (No. 1) and the conventional cell measures 3.210, 4.709 and 6.910 Å, with angles of 84.13, 76.64 and 89.97 degrees. The asymmetric unit holds Mg at (0.000, 0.000, 0.000), Mg at (0.166, 0.582, 0.667), Mo at (0.481, 0.492, 0.039), Mo at (0.848, 0.449, 0.305), Pd at (0.336, 0.946, 0.328) and Pd at (0.662, 0.088, 0.675).

The calculation puts the volume at 101.05 Å³ per cell. The value obtained for the energy of formation from the pure elements is -0.071 eV per atom. Its crystal system is triclinic. The polymorph energy (0 for the lowest one) comes out at 137 meV/atom. The calculation puts the mass density at 7.449 g/cm³. The energy is -35.7 eV/cell.

---

(5)
Below is CdBr3 after structural relaxation, with properties calculated at the PBE-GGA level.

The space group is Pm-3n (No. 223) and the conventional cell measures 5.937, 5.937 and 5.937 Å, with angles of 90.00, 90.00 and 90.00 degrees. The asymmetric unit holds Cd at (0.000, 0.000, 0.000) and Br at (0.000, 0.250, 0.500).

The calculation puts the volume at 209.31 Å³ per cell. Its crystal system is cubic. The calculation puts the uncorrected formation energy at -51 meV/atom. The calculation puts the mass density at 5.587 g/cm³. The energy is -12.3 eV/cell.

---

(6)
Below is Tl2SbTe4 after structural relaxation, with properties calculated at the PBE-GGA level.

The space group is Pbam (No. 55) and the conventional cell measures 8.991, 12.505 and 4.377 Å, with angles of 90.00, 90.00 and 90.00 degrees. The asymmetric unit holds Tl at (0.237, 0.239, 0.000), Sb at (0.000, 0.500, 0.500), Te at (0.011, 0.748, 0.500) and Te at (0.244, 0.493, 0.000).

The calculation puts the volume at 492.16 Å³ per cell. Its crystal system is orthorhombic. The calculation puts the uncorrected formation energy at -81 meV/atom. The calculation puts the mass density at 7.024 g/cm³. The energy is -44.0 eV/cell.

---

(7)
Below is BaPuBi2O8 after structural relaxation, with properties calculated at the PBE-GGA level.

The space group is P-1 (No. 2) and the conventional cell measures 5.535, 5.579 and 7.538 Å, with angles of 96.76, 91.73 and 92.26 degrees. The asymmetric unit holds Ba at (0.000, 0.000, 0.000), Pu at (0.000, 0.000, 0.500), Bi at (0.484, 0.465, 0.771), O at (0.149, 0.188, 0.336), O at (0.217, 0.177, 0.731), O at (0.238, 0.765, 0.457) and O at (0.323, 0.662, 0.011).

The calculation puts the volume at 230.80 Å³ per cell. Its crystal system is triclinic. The calculation puts the uncorrected formation energy at -1821 meV/atom. The calculation puts the mass density at 6.672 g/cm³. The energy is -85.5 eV/cell.

---

(8)
Below is FeGeH after structural relaxation, with properties calculated at the PBE-GGA level.

The space group is I4mm (No. 107) and the conventional cell measures 2.673, 2.673 and 8.262 Å, with angles of 90.00, 90.00 and 90.00 degrees. The asymmetric unit holds Fe at (0.000, 0.000, 0.000), Ge at (0.000, 0.000, 0.708) and H at (0.000, 0.000, 0.450).

The calculation puts the volume at 59.02 Å³ per cell. Its crystal system is tetragonal. The polymorph energy (0 for the lowest one) comes out at 134 meV/atom. The calculation puts the mass density at 7.286 g/cm³. The energy is -31.4 eV/cell.

---

(9)
Below is CsZn2Se2 after structural relaxation, with properties calculated at the PBE-GGA level.

The space group is I4/mmm (No. 139) and the conventional cell measures 4.614, 4.614 and 13.787 Å, with angles of 90.00, 90.00 and 90.00 degrees. The asymmetric unit holds Cs at (0.000, 0.000, 0.000), Zn at (0.000, 0.500, 0.250) and Se at (0.000, 0.000, 0.340).

The calculation puts the volume at 293.49 Å³ per cell. Its crystal system is tetragonal. The polymorph energy (0 for the lowest one) comes out at 0 meV/atom. The calculation puts the uncorrected formation energy at -619 meV/atom. The calculation puts the mass density at 4.771 g/cm³. The energy is -26.9 eV/cell.

---

(10)
Below is Hf4Be6Ir7 after structural relaxation, with properties calculated at the PBE-GGA level.

The space group is Im-3m (No. 229) and the conventional cell measures 7.836, 7.836 and 7.836 Å, with angles of 90.00, 90.00 and 90.00 degrees. The asymmetric unit holds Hf at (0.250, 0.250, 0.250), Be at (0.000, 0.000, 0.315), Ir at (0.000, 0.000, 0.000) and Ir at (0.000, 0.250, 0.500).

The calculation puts the volume at 481.19 Å³ per cell. The value obtained for the energy of formation from the pure elements is -0.610 eV per atom. Its crystal system is cubic. The calculation puts the mass density at 14.587 g/cm³. The energy is -269.2 eV/cell.

---

(11)
Below is NiAs2Se after structural relaxation, with properties calculated at the PBE-GGA level.

The space group is Cm (No. 8) and the conventional cell measures 6.381, 3.678 and 6.415 Å, with angles of 90.00, 109.18 and 90.00 degrees. The asymmetric unit holds Ni at (0.000, 0.000, 0.000), As at (0.242, 0.500, 0.225), As at (0.494, 0.000, 0.480) and Se at (0.266, 0.000, 0.796).

The calculation puts the volume at 142.19 Å³ per cell. Its crystal system is monoclinic. The calculation puts the uncorrected formation energy at -11 meV/atom. The calculation puts the mass density at 6.715 g/cm³. The energy is -37.2 eV/cell.

---

(12)
Below is Ba4GaI4 after structural relaxation, with properties calculated at the PBE-GGA level.

The space group is C2/m (No. 12) and the conventional cell measures 17.503, 4.825 and 12.620 Å, with angles of 90.00, 121.09 and 90.00 degrees. The asymmetric unit holds Ba at (0.080, 0.000, 0.399), Ba at (0.191, 0.500, 0.778), Ga at (0.000, 0.500, 0.500), I at (0.117, 0.000, 0.909) and I at (0.200, 0.500, 0.311).

The calculation puts the volume at 912.72 Å³ per cell. Its crystal system is monoclinic. The calculation puts the uncorrected formation energy at -1287 meV/atom. The calculation puts the mass density at 4.099 g/cm³. The energy is -57.0 eV/cell.